{"formula": "ScCoRe2", "functional": "PBE", "state": "optimized geometry", "formation_enthalpy_0k_ev_per_atom": 0.13, "sg": "Cm", "volume_a3_per_atom": 15.19, "e_above_lowest_polymorph_mev_per_atom": 204, "final_energy_ev_per_fu": -37.82, "lattice": [[4.525, -1.399, 0.000], [4.525, 1.399, 0.000], [-1.109, 0.000, 4.797]], "species": ["Sc", "Co", "Re", "Re"], "frac_coords": [[0.000, 0.000, 0.000], [0.252, 0.252, 0.856], [0.546, 0.546, 0.520], [0.784, 0.784, 0.342]]}

{"formula": "Na2OsPt", "functional": "PBE", "state": "optimized geometry", "formation_enthalpy_0k_ev_per_atom": 0.98, "sg": "I-42d", "volume_a3_per_atom": 20.77, "e_above_lowest_polymorph_mev_per_atom": 0, "final_energy_ev_per_fu": -15.99, "lattice": [[-4.087, 4.087, 2.487], [4.087, -4.087, 2.487], [4.087, 4.087, -2.487]], "species": ["Na", "Na", "Na", "Na", "Os", "Os", "Pt", "Pt"], "frac_coords": [[0.105, 0.625, 0.980], [0.375, 0.355, 0.480], [0.645, 0.125, 0.020], [0.875, 0.895, 0.520], [0.250, 0.750, 0.500], [0.500, 0.500, 0.000], [0.000, 0.000, 0.000], [0.750, 0.250, 0.500]]}